A relaxed Pm2ZrSc4 crystal. Source: Alexandria via LeMat-Bulk, functional PBE.

Output
Crystal system   tetragonal
DFT total energy   -5.671 eV per atom

a b c (Å): 5.080 5.080 16.495
angles (deg): 90.00 90.00 90.00
Positions (direct):
1 Pm 0.000 0.000 0.131
2 Pm 0.000 0.000 0.869
3 Pm 0.500 0.500 0.369
4 Pm 0.500 0.500 0.631
5 Zr 0.000 0.000 0.500
6 Zr 0.500 0.500 0.000
7 Sc 0.000 0.000 0.329
8 Sc 0.000 0.000 0.671
9 Sc 0.000 0.500 0.000
10 Sc 0.000 0.500 0.500
11 Sc 0.500 0.000 0.000
12 Sc 0.500 0.000 0.500
13 Sc 0.500 0.500 0.171
14 Sc 0.500 0.500 0.829